# NbVAs2P | Alexandria via LeMat-Bulk | GGA-PBE | relaxed
data_NbVAs2P
_chemical_formula_sum 'Nb1 V1 As2 P1'
_space_group_name_H-M_alt 'P 1'
_space_group_IT_number 1
_cell_length_a 4.707
_cell_length_b 4.707
_cell_length_c 4.565
_cell_angle_alpha 90.00
_cell_angle_beta 90.00
_cell_angle_gamma 90.00
loop_
_space_group_symop_operation_xyz
'x,y,z'
loop_
_atom_site_label
_atom_site_fract_x
_atom_site_fract_y
_atom_site_fract_z
Nb1 0.000 0.000 0.000
V1 0.500 0.500 0.000
As1 0.000 0.500 0.500
As2 0.500 0.000 0.500
P1 0.000 0.000 0.500
# **Energy of formation from the pure elements**: 5.048 eV/f.u.
# **Crystal system**: tetragonal

***

# Pa2NbAs | Alexandria via LeMat-Bulk | GGA-PBE | relaxed
data_Pa2NbAs
_chemical_formula_sum 'Pa2 Nb1 As1'
_space_group_name_H-M_alt 'P 1'
_space_group_IT_number 1
_cell_length_a 3.784
_cell_length_b 3.784
_cell_length_c 6.148
_cell_angle_alpha 90.00
_cell_angle_beta 90.00
_cell_angle_gamma 90.00
loop_
_space_group_symop_operation_xyz
'x,y,z'
loop_
_atom_site_label
_atom_site_fract_x
_atom_site_fract_y
_atom_site_fract_z
Pa1 0.000 0.000 0.228
Pa2 0.000 0.000 0.772
Nb1 0.500 0.500 0.500
As1 0.500 0.500 0.000
# **Energy of formation from the pure elements**: -1.316 eV/f.u.
# **Crystal system**: tetragonal
# **Offset from the most stable computed form**: 0.00 eV/f.u.

***

# PaNb2As3 | Alexandria via LeMat-Bulk | GGA-PBE | relaxed
data_PaNb2As3
_chemical_formula_sum 'Pa2 Nb4 As6'
_space_group_name_H-M_alt 'P 1'
_space_group_IT_number 1
_cell_length_a 3.676
_cell_length_b 9.918
_cell_length_c 6.737
_cell_angle_alpha 90.00
_cell_angle_beta 90.00
_cell_angle_gamma 90.00
loop_
_space_group_symop_operation_xyz
'x,y,z'
loop_
_atom_site_label
_atom_site_fract_x
_atom_site_fract_y
_atom_site_fract_z
Pa1 0.000 0.131 0.000
Pa2 0.000 0.869 0.500
Nb1 0.000 0.229 0.497
Nb2 0.000 0.771 0.997
Nb3 0.500 0.473 0.518
Nb4 0.500 0.527 0.018
As1 0.000 0.399 0.786
As2 0.000 0.601 0.286
As3 0.500 0.066 0.673
As4 0.500 0.291 0.235
As5 0.500 0.709 0.735
As6 0.500 0.934 0.173
# **Energy of formation from the pure elements**: -3.912 eV/f.u.
# **Crystal system**: orthorhombic

***

# PaNb4As2 | Alexandria via LeMat-Bulk | GGA-PBE | relaxed
data_PaNb4As2
_chemical_formula_sum 'Pa1 Nb4 As2'
_space_group_name_H-M_alt 'P 1'
_space_group_IT_number 1
_cell_length_a 9.074
_cell_length_b 9.074
_cell_length_c 3.605
_cell_angle_alpha 90.00
_cell_angle_beta 90.00
_cell_angle_gamma 152.82
loop_
_space_group_symop_operation_xyz
'x,y,z'
loop_
_atom_site_label
_atom_site_fract_x
_atom_site_fract_y
_atom_site_fract_z
Pa1 0.000 0.000 0.000
Nb1 0.177 0.823 0.500
Nb2 0.313 0.687 0.000
Nb3 0.687 0.313 0.000
Nb4 0.823 0.177 0.500
As1 0.423 0.577 0.500
As2 0.577 0.423 0.500
# **Energy of formation from the pure elements**: -2.986 eV/f.u.
# **Crystal system**: orthorhombic

***

# Pa2NbAs | Alexandria via LeMat-Bulk | GGA-PBE | relaxed
data_Pa2NbAs
_chemical_formula_sum 'Pa2 Nb1 As1'
_space_group_name_H-M_alt 'P 1'
_space_group_IT_number 1
_cell_length_a 10.749
_cell_length_b 10.749
_cell_length_c 10.749
_cell_angle_alpha 16.73
_cell_angle_beta 16.73
_cell_angle_gamma 16.73
loop_
_space_group_symop_operation_xyz
'x,y,z'
loop_
_atom_site_label
_atom_site_fract_x
_atom_site_fract_y
_atom_site_fract_z
Pa1 0.089 0.089 0.089
Pa2 0.911 0.911 0.911
Nb1 0.000 0.000 0.000
As1 0.500 0.500 0.500
# **Energy of formation from the pure elements**: 0.743 eV/f.u.
# **Crystal system**: trigonal
# **Offset from the most stable computed form**: 2.06 eV/f.u.

***

# Pa2NbAs | Alexandria via LeMat-Bulk | GGA-PBE | relaxed
data_Pa2NbAs
_chemical_formula_sum 'Pa2 Nb1 As1'
_space_group_name_H-M_alt 'P 1'
_space_group_IT_number 1
_cell_length_a 4.322
_cell_length_b 4.322
_cell_length_c 4.448
_cell_angle_alpha 90.00
_cell_angle_beta 90.00
_cell_angle_gamma 90.00
loop_
_space_group_symop_operation_xyz
'x,y,z'
loop_
_atom_site_label
_atom_site_fract_x
_atom_site_fract_y
_atom_site_fract_z
Pa1 0.000 0.500 0.000
Pa2 0.500 0.000 0.000
Nb1 0.000 0.000 0.500
As1 0.500 0.500 0.500
# **Energy of formation from the pure elements**: -1.205 eV/f.u.
# **Crystal system**: tetragonal
# **Offset from the most stable computed form**: 0.11 eV/f.u.

***

# PaNb3As2 | Alexandria via LeMat-Bulk | GGA-PBE | relaxed
data_PaNb3As2
_chemical_formula_sum 'Pa2 Nb6 As4'
_space_group_name_H-M_alt 'P 1'
_space_group_IT_number 1
_cell_length_a 8.612
_cell_length_b 8.612
_cell_length_c 8.416
_cell_angle_alpha 115.20
_cell_angle_beta 115.20
_cell_angle_gamma 24.89
loop_
_space_group_symop_operation_xyz
'x,y,z'
loop_
_atom_site_label
_atom_site_fract_x
_atom_site_fract_y
_atom_site_fract_z
Pa1 0.137 0.137 0.044
Pa2 0.863 0.863 0.956
Nb1 0.056 0.056 0.407
Nb2 0.313 0.313 0.530
Nb3 0.406 0.406 0.287
Nb4 0.594 0.594 0.713
Nb5 0.687 0.687 0.470
Nb6 0.944 0.944 0.593
As1 0.215 0.215 0.739
As2 0.467 0.467 0.827
As3 0.533 0.533 0.173
As4 0.785 0.785 0.261
# **Energy of formation from the pure elements**: -2.593 eV/f.u.
# **Crystal system**: monoclinic

***

# PaNb2As | Alexandria via LeMat-Bulk | GGA-PBE | relaxed
data_PaNb2As
_chemical_formula_sum 'Pa1 Nb2 As1'
_space_group_name_H-M_alt 'P 1'
_space_group_IT_number 1
_cell_length_a 9.614
_cell_length_b 9.614
_cell_length_c 9.614
_cell_angle_alpha 18.87
_cell_angle_beta 18.87
_cell_angle_gamma 18.87
loop_
_space_group_symop_operation_xyz
'x,y,z'
loop_
_atom_site_label
_atom_site_fract_x
_atom_site_fract_y
_atom_site_fract_z
Pa1 0.000 0.000 0.000
Nb1 0.099 0.099 0.099
Nb2 0.901 0.901 0.901
As1 0.500 0.500 0.500
# **Energy of formation from the pure elements**: 0.888 eV/f.u.
# **Crystal system**: trigonal

***

# Nb3AsPb | Alexandria via LeMat-Bulk | GGA-PBE | relaxed
data_Nb3AsPb
_chemical_formula_sum 'Nb3 As1 Pb1'
_space_group_name_H-M_alt 'P 1'
_space_group_IT_number 1
_cell_length_a 4.812
_cell_length_b 4.812
_cell_length_c 4.812
_cell_angle_alpha 90.00
_cell_angle_beta 90.00
_cell_angle_gamma 90.00
loop_
_space_group_symop_operation_xyz
'x,y,z'
loop_
_atom_site_label
_atom_site_fract_x
_atom_site_fract_y
_atom_site_fract_z
Nb1 0.000 0.000 0.500
Nb2 0.000 0.500 0.000
Nb3 0.500 0.000 0.000
As1 0.000 0.000 0.000
Pb1 0.500 0.500 0.500
# **Energy of formation from the pure elements**: 2.945 eV/f.u.
# **Crystal system**: cubic

***

# Nb2AsPb2 | Alexandria via LeMat-Bulk | GGA-PBE | relaxed
data_Nb2AsPb2
_chemical_formula_sum 'Nb4 As2 Pb4'
_space_group_name_H-M_alt 'P 1'
_space_group_IT_number 1
_cell_length_a 8.692
_cell_length_b 8.692
_cell_length_c 3.096
_cell_angle_alpha 90.00
_cell_angle_beta 90.00
_cell_angle_gamma 90.00
loop_
_space_group_symop_operation_xyz
'x,y,z'
loop_
_atom_site_label
_atom_site_fract_x
_atom_site_fract_y
_atom_site_fract_z
Nb1 0.109 0.391 0.000
Nb2 0.391 0.891 0.000
Nb3 0.609 0.109 0.000
Nb4 0.891 0.609 0.000
As1 0.000 0.000 0.500
As2 0.500 0.500 0.500
Pb1 0.184 0.684 0.500
Pb2 0.316 0.184 0.500
Pb3 0.684 0.816 0.500
Pb4 0.816 0.316 0.500
# **Energy of formation from the pure elements**: 3.030 eV/f.u.
# **Crystal system**: tetragonal
# **Offset from the most stable computed form**: 0.03 eV/f.u.

***

# Nb2AsPb2 | Alexandria via LeMat-Bulk | GGA-PBE | relaxed
data_Nb2AsPb2
_chemical_formula_sum 'Nb2 As1 Pb2'
_space_group_name_H-M_alt 'P 1'
_space_group_IT_number 1
_cell_length_a 9.276
_cell_length_b 9.276
_cell_length_c 9.276
_cell_angle_alpha 156.87
_cell_angle_beta 156.87
_cell_angle_gamma 32.93
loop_
_space_group_symop_operation_xyz
'x,y,z'
loop_
_atom_site_label
_atom_site_fract_x
_atom_site_fract_y
_atom_site_fract_z
Nb1 0.250 0.750 0.500
Nb2 0.750 0.250 0.500
As1 0.000 0.000 0.000
Pb1 0.400 0.400 0.000
Pb2 0.600 0.600 0.000
# **Energy of formation from the pure elements**: 2.996 eV/f.u.
# **Crystal system**: tetragonal
# **Offset from the most stable computed form**: 0.00 eV/f.u.

***

# NbAsPb2S | Alexandria via LeMat-Bulk | GGA-PBE | relaxed
data_NbAsPb2S
_chemical_formula_sum 'Nb1 As1 Pb2 S1'
_space_group_name_H-M_alt 'P 1'
_space_group_IT_number 1
_cell_length_a 5.532
_cell_length_b 5.532
_cell_length_c 4.642
_cell_angle_alpha 90.00
_cell_angle_beta 90.00
_cell_angle_gamma 90.00
loop_
_space_group_symop_operation_xyz
'x,y,z'
loop_
_atom_site_label
_atom_site_fract_x
_atom_site_fract_y
_atom_site_fract_z
Nb1 0.000 0.000 0.000
As1 0.500 0.500 0.000
Pb1 0.000 0.500 0.500
Pb2 0.500 0.000 0.500
S1 0.000 0.000 0.500
# **Crystal system**: tetragonal
# **Formation energy from raw total energies**: 495 meV/atom

***

# NbAsPbSe2 | Alexandria via LeMat-Bulk | GGA-PBE | relaxed
data_NbAsPbSe2
_chemical_formula_sum 'Nb1 As1 Pb1 Se2'
_space_group_name_H-M_alt 'P 1'
_space_group_IT_number 1
_cell_length_a 5.301
_cell_length_b 5.301
_cell_length_c 5.248
_cell_angle_alpha 90.00
_cell_angle_beta 90.00
_cell_angle_gamma 90.00
loop_
_space_group_symop_operation_xyz
'x,y,z'
loop_
_atom_site_label
_atom_site_fract_x
_atom_site_fract_y
_atom_site_fract_z
Nb1 0.000 0.000 0.000
As1 0.500 0.500 0.000
Pb1 0.500 0.500 0.500
Se1 0.000 0.500 0.500
Se2 0.500 0.000 0.500
# **Crystal system**: tetragonal
# **Formation energy from raw total energies**: 1310 meV/atom
# **Offset from the most stable computed form**: 7.21 eV/f.u.

***

# NbAsPbSe2 | Alexandria via LeMat-Bulk | GGA-PBE | relaxed
data_NbAsPbSe2
_chemical_formula_sum 'Nb1 As1 Pb1 Se2'
_space_group_name_H-M_alt 'P 1'
_space_group_IT_number 1
_cell_length_a 5.063
_cell_length_b 5.063
_cell_length_c 5.134
_cell_angle_alpha 90.00
_cell_angle_beta 90.00
_cell_angle_gamma 90.00
loop_
_space_group_symop_operation_xyz
'x,y,z'
loop_
_atom_site_label
_atom_site_fract_x
_atom_site_fract_y
_atom_site_fract_z
Nb1 0.000 0.000 0.000
As1 0.000 0.000 0.500
Pb1 0.500 0.500 0.500
Se1 0.000 0.500 0.000
Se2 0.500 0.000 0.000
# **Crystal system**: tetragonal
# **Formation energy from raw total energies**: -133 meV/atom
# **Offset from the most stable computed form**: 0.00 eV/f.u.